# 1
CeSeS | the Alexandria database | PBE-GGA | optimized geometry; space-group type = Cmcm (63); excess energy over the best structure of this formula in the dataset = 0.2269 eV per atom; Fermi-level density of states = 4.4 states/eV/cell; formation energy from raw total energies = -1.4898 eV per atom; magnetic moment = 0.1 μB/f.u.
1.0
2.668 -4.557 0.000
2.668 4.557 0.000
0.000 0.000 5.310
Ce Se S
2 2 2
Direct
0.237 0.763 0.750 Ce
0.763 0.237 0.250 Ce
0.412 0.588 0.250 Se
0.588 0.412 0.750 Se
0.106 0.894 0.250 S
0.894 0.106 0.750 S

=====

# 2
GeRh | the Alexandria database | PBE-GGA | optimized geometry; space-group type = Amm2 (38); Fermi-level density of states = 4.1 states/eV/cell; formation energy from the elements = -8.8 kcal/mol of atoms; magnetic moment = 0.0 μB/f.u.
1.0
4.038 0.000 0.000
0.000 4.300 2.828
0.000 -4.300 2.828
Ge Rh
3 3
Direct
0.000 0.000 0.000 Ge
0.500 0.421 0.779 Ge
0.500 0.779 0.421 Ge
0.000 0.084 0.555 Rh
0.000 0.555 0.084 Rh
0.500 0.260 0.260 Rh

=====

# 3
SiNiI3 | the Alexandria database | PBE-GGA | optimized geometry; space-group type = Pm-3m (221); excess energy over the best structure of this formula in the dataset = 0.2283 eV per atom; Fermi-level density of states = 11.6 states/eV/cell; formation energy from raw total energies = 0.7276 eV per atom; magnetic moment = 1.0 μB/f.u.
1.0
5.589 0.000 0.000
0.000 5.589 0.000
0.000 0.000 5.589
Si Ni I
1 1 3
Direct
0.000 0.000 0.000 Si
0.500 0.500 0.500 Ni
0.000 0.000 0.500 I
0.000 0.500 0.000 I
0.500 0.000 0.000 I

=====

# 4
InMo | the Alexandria database | PBE-GGA | optimized geometry; space-group type = P2_12_12_1 (19); excess energy over the best structure of this formula in the dataset = 0.1513 eV per atom; Fermi-level density of states = 8.0 states/eV/cell; formation energy from the elements = 8.4 kcal/mol of atoms; magnetic moment = 0.0 μB/f.u.
1.0
4.928 0.000 0.000
0.000 6.090 0.000
0.000 0.000 10.044
In Mo
8 8
Direct
0.148 0.245 0.358 In
0.151 0.015 0.627 In
0.349 0.985 0.127 In
0.352 0.755 0.858 In
0.648 0.255 0.642 In
0.651 0.485 0.373 In
0.849 0.515 0.873 In
0.852 0.745 0.142 In
0.148 0.531 0.604 Mo
0.180 0.758 0.388 Mo
0.320 0.242 0.888 Mo
0.352 0.469 0.104 Mo
0.648 0.969 0.396 Mo
0.680 0.742 0.612 Mo
0.820 0.258 0.112 Mo
0.852 0.031 0.896 Mo

=====

# 5
ScMoOs2 | the Alexandria database | PBE-GGA | optimized geometry; space-group type = Cmm2 (35); Fermi-level density of states = 4.6 states/eV/cell; formation energy from the elements = 7.3 kcal/mol of atoms; magnetic moment = 0.0 μB/f.u.
1.0
1.528 -2.294 0.000
1.528 2.294 0.000
0.000 0.000 9.100
Sc Mo Os
1 1 2
Direct
0.000 0.000 0.000 Sc
0.500 0.500 0.730 Mo
0.000 0.000 0.492 Os
0.500 0.500 0.244 Os

=====

# 6
Zn4H | the Alexandria database | PBE-GGA | optimized geometry; space-group type = Pm-3m (221); Fermi-level density of states = 1.0 states/eV/cell; final energy = -1.4068 eV/atom; magnetic moment = 0.0 μB/f.u.
1.0
4.049 0.000 0.000
0.000 4.049 0.000
0.000 0.000 4.049
Zn H
4 1
Direct
0.000 0.000 0.000 Zn
0.000 0.500 0.500 Zn
0.500 0.000 0.500 Zn
0.500 0.500 0.000 Zn
0.500 0.500 0.500 H

=====

# 7
TcAs4W | the Alexandria database | PBE-GGA | optimized geometry; space-group type = F-43m (216); Fermi-level density of states = 4.7 states/eV/cell; formation energy from the elements = 25.9 kcal/mol of atoms; magnetic moment = 1.0 μB/f.u.
1.0
0.000 3.736 3.736
3.736 0.000 3.736
3.736 3.736 0.000
Tc As W
1 4 1
Direct
0.000 0.000 0.000 Tc
0.125 0.625 0.625 As
0.625 0.125 0.625 As
0.625 0.625 0.125 As
0.625 0.625 0.625 As
0.250 0.250 0.250 W

=====

# 8
ThTiGe2 | the Alexandria database | PBE-GGA | optimized geometry; space-group type = Pnma (62); excess energy over the best structure of this formula in the dataset = 0.0000 eV per atom; Fermi-level density of states = 10.6 states/eV/cell; formation energy from the elements = -14.7 kcal/mol of atoms; magnetic moment = 0.0 μB/f.u.
1.0
7.814 0.000 0.000
0.000 4.108 0.000
0.000 0.000 10.570
Th Ti Ge
4 4 8
Direct
0.135 0.250 0.138 Th
0.365 0.750 0.638 Th
0.635 0.250 0.362 Th
0.865 0.750 0.862 Th
0.020 0.750 0.401 Ti
0.480 0.250 0.901 Ti
0.520 0.750 0.099 Ti
0.980 0.250 0.599 Ti
0.160 0.250 0.803 Ge
0.234 0.250 0.448 Ge
0.266 0.750 0.948 Ge
0.340 0.750 0.303 Ge
0.660 0.250 0.697 Ge
0.734 0.250 0.052 Ge
0.766 0.750 0.552 Ge
0.840 0.750 0.197 Ge

=====

# 9
TbSm8Dy4 | the Alexandria database | PBE-GGA | optimized geometry; space-group type = R-3m (166); Fermi-level density of states = 19.4 states/eV/cell; formation energy from the elements = 11.1 kcal/mol of atoms; magnetic moment = 0.0 μB/f.u.
1.0
5.544 3.201 4.507
-5.544 3.201 4.507
0.000 -6.402 4.507
Tb Sm Dy
1 8 4
Direct
0.000 0.000 0.000 Tb
0.259 0.740 0.740 Sm
0.260 0.260 0.260 Sm
0.260 0.260 0.741 Sm
0.260 0.741 0.260 Sm
0.740 0.259 0.740 Sm
0.740 0.740 0.259 Sm
0.740 0.740 0.740 Sm
0.741 0.260 0.260 Sm
0.000 0.000 0.500 Dy
0.000 0.500 0.000 Dy
0.500 0.000 0.000 Dy
0.500 0.500 0.500 Dy

=====

# 10
Ac5La12Tb | the Alexandria database | PBE-GGA | optimized geometry; space-group type = P-1 (2); Fermi-level density of states = 27.9 states/eV/cell; formation energy from the elements = 1.7 kcal/mol of atoms; magnetic moment = 0.0 μB/f.u.
1.0
6.288 0.000 0.000
-0.097 10.954 0.000
-0.047 -3.952 10.217
Ac La Tb
5 12 1
Direct
0.000 0.000 0.000 Ac
0.000 0.336 0.664 Ac
0.000 0.664 0.336 Ac
0.499 0.836 0.165 Ac
0.501 0.164 0.835 Ac
0.052 0.647 0.980 La
0.053 0.980 0.647 La
0.073 0.319 0.318 La
0.428 0.806 0.807 La
0.449 0.153 0.484 La
0.449 0.483 0.153 La
0.551 0.517 0.847 La
0.551 0.847 0.516 La
0.572 0.194 0.193 La
0.927 0.681 0.682 La
0.947 0.020 0.353 La
0.948 0.353 0.020 La
0.500 0.500 0.500 Tb

=====

# 11
BeTeAs2 | the Alexandria database | PBE-GGA | optimized geometry; space-group type = I4/mmm (139); excess energy over the best structure of this formula in the dataset = 0.4553 eV per atom; Fermi-level density of states = 2.4 states/eV/cell; formation energy from raw total energies = 0.5097 eV per atom; magnetic moment = 0.0 μB/f.u.
1.0
-1.861 1.861 6.017
1.861 -1.861 6.017
1.861 1.861 -6.017
Be Te As
1 1 2
Direct
0.000 0.000 0.000 Be
0.500 0.500 0.000 Te
0.250 0.750 0.500 As
0.750 0.250 0.500 As

=====

# 12
Y5Er2Tm2 | the Alexandria database | PBE-GGA | optimized geometry; space-group type = C2 (5); excess energy over the best structure of this formula in the dataset = 0.1083 eV per atom; Fermi-level density of states = 32.5 states/eV/cell; formation energy from the elements = 3.1 kcal/mol of atoms; magnetic moment = 0.0 μB/f.u.
1.0
8.988 -2.869 0.000
8.988 2.869 0.000
-7.511 0.000 11.176
Y Er Tm
10 4 4
Direct
0.006 0.746 0.206 Y
0.026 0.026 0.146 Y
0.254 0.994 0.794 Y
0.305 0.095 0.423 Y
0.476 0.196 0.043 Y
0.527 0.372 0.659 Y
0.628 0.473 0.341 Y
0.804 0.524 0.957 Y
0.905 0.695 0.577 Y
0.974 0.974 0.854 Y
0.114 0.886 0.500 Er
0.407 0.155 0.728 Er
0.496 0.504 0.000 Er
0.845 0.593 0.272 Er
0.314 0.040 0.096 Tm
0.488 0.249 0.357 Tm
0.751 0.512 0.643 Tm
0.960 0.686 0.904 Tm

=====

# 13
SrScSb2 | the Alexandria database | PBE-GGA | optimized geometry; space-group type = P4/mmm (123); excess energy over the best structure of this formula in the dataset = 0.1838 eV per atom; Fermi-level density of states = 3.5 states/eV/cell; formation energy from raw total energies = -0.6689 eV per atom; magnetic moment = 0.0 μB/f.u.
1.0
4.458 0.000 0.000
0.000 4.458 0.000
0.000 0.000 6.253
Sr Sc Sb
1 1 2
Direct
0.000 0.000 0.000 Sr
0.500 0.500 0.500 Sc
0.000 0.000 0.500 Sb
0.500 0.500 0.000 Sb

=====

# 14
Cu2GeS3 | the Alexandria database | PBE-GGA | optimized geometry; space-group type = Cc (9); Fermi-level density of states = 0.8 states/eV/cell; formation energy from raw total energies = -0.3250 eV per atom; magnetic moment = 0.0 μB/f.u.
1.0
3.242 -5.653 0.000
3.242 5.653 0.000
-2.144 0.000 6.164
Cu Ge S
4 2 6
Direct
0.084 0.916 0.500 Cu
0.245 0.741 0.000 Cu
0.741 0.245 0.500 Cu
0.916 0.084 0.000 Cu
0.391 0.566 0.480 Ge
0.566 0.391 0.980 Ge
0.028 0.197 0.373 S
0.197 0.028 0.873 S
0.369 0.865 0.371 S
0.536 0.703 0.867 S
0.703 0.536 0.367 S
0.865 0.369 0.871 S

=====

# 15
Te3Se | the Alexandria database | PBE-GGA | optimized geometry; space-group type = Pmm2 (25); Fermi-level density of states = 1.4 states/eV/cell; formation energy from raw total energies = 0.1298 eV per atom; magnetic moment = 0.0 μB/f.u.
1.0
4.163 0.000 0.000
0.000 4.296 0.000
0.000 0.000 7.257
Te Se
3 1
Direct
0.000 0.000 0.000 Te
0.000 0.500 0.483 Te
0.500 0.500 0.755 Te
0.500 0.000 0.238 Se

=====

# 16
NdDy2Zn2Ga2 | the Alexandria database | PBE-GGA | optimized geometry; space-group type = R-3m (166); Fermi-level density of states = 3.6 states/eV/cell; formation energy from the elements = -9.3 kcal/mol of atoms; magnetic moment = 0.0 μB/f.u.
1.0
2.236 1.291 9.300
-2.236 1.291 9.300
0.000 -2.582 9.300
Nd Dy Zn Ga
1 2 2 2
Direct
0.000 0.000 0.000 Nd
0.128 0.128 0.128 Dy
0.872 0.872 0.872 Dy
0.403 0.403 0.403 Zn
0.597 0.597 0.597 Zn
0.259 0.259 0.259 Ga
0.741 0.741 0.741 Ga

=====

# 17
TaRe2Au | the Alexandria database | PBE-GGA | optimized geometry; space-group type = R-3m (166); excess energy over the best structure of this formula in the dataset = 0.2811 eV per atom; Fermi-level density of states = 5.2 states/eV/cell; formation energy from the elements = 8.1 kcal/mol of atoms; magnetic moment = 0.0 μB/f.u.
1.0
1.404 0.811 9.661
-1.404 0.811 9.661
0.000 -1.621 9.661
Ta Re Au
1 2 1
Direct
0.000 0.000 0.000 Ta
0.250 0.250 0.250 Re
0.750 0.750 0.750 Re
0.500 0.500 0.500 Au

=====

# 18
ZrGa2Br | the Alexandria database | PBE-GGA | optimized geometry; space-group type = Fm-3m (225); excess energy over the best structure of this formula in the dataset = 0.2022 eV per atom; Fermi-level density of states = 4.2 states/eV/cell; formation energy from raw total energies = 0.2833 eV per atom; magnetic moment = 0.0 μB/f.u.
1.0
0.000 3.537 3.537
3.537 0.000 3.537
3.537 3.537 0.000
Zr Ga Br
1 2 1
Direct
0.000 0.000 0.000 Zr
0.250 0.250 0.250 Ga
0.750 0.750 0.750 Ga
0.500 0.500 0.500 Br

=====

# 19
V2HgRu2 | the Alexandria database | PBE-GGA | optimized geometry; space-group type = P4/mbm (127); excess energy over the best structure of this formula in the dataset = 0.0663 eV per atom; Fermi-level density of states = 10.2 states/eV/cell; formation energy from the elements = 2.3 kcal/mol of atoms; magnetic moment = 0.0 μB/f.u.
1.0
7.386 0.000 0.000
0.000 7.386 0.000
0.000 0.000 2.844
V Hg Ru
4 2 4
Direct
0.141 0.359 0.000 V
0.359 0.859 0.000 V
0.641 0.141 0.000 V
0.859 0.641 0.000 V
0.000 0.000 0.000 Hg
0.500 0.500 0.000 Hg
0.147 0.647 0.500 Ru
0.353 0.147 0.500 Ru
0.647 0.853 0.500 Ru
0.853 0.353 0.500 Ru

=====

# 20
I2Br | the Alexandria database | PBE-GGA | optimized geometry; space-group type = P1 (1); excess energy over the best structure of this formula in the dataset = 0.0875 eV per atom; Fermi-level density of states = 0.4 states/eV/cell; formation energy from raw total energies = 0.0502 eV per atom; magnetic moment = 0.0 μB/f.u.
1.0
5.253 0.000 0.000
2.491 5.035 0.000
0.500 0.272 5.819
I Br
2 1
Direct
0.000 0.000 0.000 I
0.071 0.057 0.490 I
0.583 0.566 0.489 Br